# 1
{"formula": "ErMgNiHg", "functional": "PBE", "state": "relaxed", "magmom_total_mub_per_cell": 0.000, "sg": "F-43m (216)", "formation_enthalpy_0k_ev_per_atom": -0.283, "total_energy_ev_per_atom": -3.34, "cell": [[-0.1640, 2.7207, -3.9805], [2.4845, -1.3112, -3.9220], [-2.3318, -1.5886, -3.9131]], "species": ["Ni", "Mg", "Hg", "Er"], "fractional_positions": [[0.0000, 0.0000, 0.0000], [0.2500, 0.2500, 0.2500], [0.5000, 0.5000, 0.5000], [0.7500, 0.7500, 0.7500]]}

# 2
{"formula": "Ho4TlCd2", "functional": "PBE", "state": "relaxed", "magmom_total_mub_per_cell": 0.008, "sg": "R-3m (166)", "formation_enthalpy_0k_ev_per_atom": -0.141, "e_above_lowest_polymorph_mev_per_atom": 0, "total_energy_ev_per_atom": -3.36, "cell": [[4.9846, 0.0000, 1.5573], [2.2491, 4.4484, 1.5573], [-0.0605, -0.0372, 8.9497]], "species": ["Tl", "Ho", "Ho", "Ho", "Ho", "Cd", "Cd"], "fractional_positions": [[0.0000, 0.0000, 0.0000], [0.8701, 0.8701, 0.3896], [0.1299, 0.1299, 0.6104], [0.6165, 0.6165, 0.1505], [0.3835, 0.3835, 0.8495], [0.7480, 0.7480, 0.7560], [0.2520, 0.2520, 0.2440]]}

# 3
{"formula": "Cd2ReAs", "functional": "PBE", "state": "relaxed", "magmom_total_mub_per_cell": 0.000, "sg": "I-42d (122)", "formation_enthalpy_0k_ev_per_atom": 0.619, "total_energy_ev_per_atom": -4.11, "cell": [[-2.6350, -4.5457, -9.1534], [9.9430, -3.3260, -1.2106], [3.1291, -5.9184, -4.0463]], "species": ["Re", "Re", "As", "As", "Cd", "Cd", "Cd", "Cd"], "fractional_positions": [[0.0000, 0.0000, 0.0000], [0.7500, 0.2500, 0.5000], [0.5000, 0.5000, 0.0000], [0.2500, 0.7500, 0.5000], [0.8731, 0.1250, 0.2500], [0.8769, 0.6250, 0.2500], [0.3750, 0.1269, 0.7500], [0.8750, 0.1231, 0.7500]]}

# 4
{"formula": "La3SiB", "functional": "PBE", "state": "relaxed", "magmom_total_mub_per_cell": 0.000, "formation_energy_uncorrected_ev_per_atom": -0.102, "sg": "Pm-3m (221)", "e_above_lowest_polymorph_mev_per_atom": 0, "total_energy_ev_per_atom": -5.48, "cell": [[5.2184, 0.0000, 0.0000], [0.0000, 5.2184, 0.0000], [0.0000, 0.0000, 5.2184]], "species": ["Si", "B", "La", "La", "La"], "fractional_positions": [[0.5000, 0.5000, 0.5000], [0.0000, 0.0000, 0.0000], [0.0000, 0.5000, 0.0000], [0.0000, 0.0000, 0.5000], [0.5000, 0.0000, 0.0000]]}

# 5
{"formula": "HfPPtO2", "functional": "PBE", "state": "relaxed", "magmom_total_mub_per_cell": 0.000, "formation_energy_uncorrected_ev_per_atom": -0.265, "sg": "P4/mmm (123)", "e_above_lowest_polymorph_mev_per_atom": 796, "total_energy_ev_per_atom": -6.53, "cell": [[-2.5647, 1.4629, 2.6717], [-1.0623, -3.7029, 1.0078], [3.3568, -0.0749, 3.2634]], "species": ["P", "Hf", "O", "O", "Pt"], "fractional_positions": [[0.0000, 0.0000, 0.5000], [0.5000, 0.5000, 0.5000], [0.0000, 0.5000, 0.0000], [0.5000, 0.0000, 0.0000], [0.0000, 0.0000, 0.0000]]}

# 6
{"formula": "MoIrRu2", "functional": "PBE", "state": "relaxed", "magmom_total_mub_per_cell": 0.000, "sg": "I4/mmm (139)", "formation_enthalpy_0k_ev_per_atom": -0.083, "e_above_lowest_polymorph_mev_per_atom": 84, "total_energy_ev_per_atom": -9.64, "cell": [[-1.5792, 4.2043, -1.4733], [-4.4666, 0.5555, 1.4428], [3.9176, -1.2286, 2.3417]], "species": ["Ru", "Ru", "Mo", "Ir"], "fractional_positions": [[0.0000, 0.0000, 0.0000], [0.5000, 0.5000, 0.0000], [0.7500, 0.2500, 0.5000], [0.2500, 0.7500, 0.5000]]}